# 1
# Sm2HoInN

A relaxed Sm2HoInN crystal (PBE-GGA, Alexandria via LeMat-Bulk).

a b c (Å): 4.794 4.963 4.963
angles (deg): 90.00 90.00 90.00
Positions (direct):
Sm 0.000 0.000 0.500
N 0.000 0.000 0.000
Ho 0.500 0.000 0.000
Sm 0.000 0.500 0.000
In 0.500 0.500 0.500

Crystal system: tetragonal
Density (g/cm³): 8.36
Space group: P4/mmm (123)
Calculated volume (Å³ per cell): 118
Formation energy from raw total energies (eV per atom): -0.9414



# 2
# TbHo2InN4

A relaxed TbHo2InN4 crystal (PBE-GGA, Alexandria via LeMat-Bulk).

a b c (Å): 3.447 5.956 5.971
angles (deg): 110.38 90.00 90.00
Positions (direct):
Tb 0.500 0.500 0.000
N 0.500 0.751 0.748
In 0.000 0.000 0.000
N 0.500 0.249 0.252
N 0.000 0.745 0.259
Ho 0.500 0.000 0.500
N 0.000 0.255 0.741
Ho 0.000 0.500 0.500

Crystal system: monoclinic
Density (g/cm³): 9.53
Space group: P2/m (10)
Calculated volume (Å³ per cell): 115
Formation energy from raw total energies (eV per atom): -1.2034



> The highest formation energy from raw total energies belongs to which entry?

Sm2HoInN